# 1
This record from the Alexandria database describes a geometry-optimized NdTmF structure. The functional is GGA-PBE.

a b c (Å): 3.6781 3.6775 12.3767
angles (deg): 90.01 90.00 59.99
Last column: nearest neighbours and their distance in Å.
Fractional positions:
Tm  0.1898  0.9918  0.5710  4 F 2.40-2.49
Tm  0.5229  0.3257  0.8622  4 F 2.40-2.49
Nd  0.5233  0.3247  0.3384  3 Tm 3.58, 9 Nd 3.68-3.69, 1 F 4.00
Nd  0.1894  0.9929  0.0948  3 Tm 3.58, 9 Nd 3.68-3.69, 1 F 4.00
F  0.5229  0.3252  0.6612  4 Tm 2.40-2.49, 3 F 2.53
F  0.1896  0.9922  0.7720  4 Tm 2.40-2.49, 3 F 2.53

Properties
- SG = No. 164
- uncorrected energy (eV per atom) = -5.321
- M_tot (μB/cell) = 0.227

# 2
This record from the Alexandria database describes a geometry-optimized Tb2PmEr7 structure. The functional is GGA-PBE.

a b c (Å): 5.5026 8.3866 8.3867
angles (deg): 85.08 109.04 109.04
Last column: nearest neighbours and their distance in Å.
Fractional positions:
Tb  0.5000  0.8390  0.1610  2 Pm 3.30, 4 Er 3.40-3.47, 1 Tb 3.65
Tb  0.5000  0.1610  0.8390  2 Pm 3.30, 4 Er 3.40-3.47, 1 Tb 3.65
Pm  0.0000  0.0000  0.0000  4 Er 3.28, 4 Tb 3.30
Er  0.0000  0.6631  0.3369  5 Er 3.32-3.70, 2 Tb 3.40
Er  0.0000  0.3369  0.6631  5 Er 3.32-3.70, 2 Tb 3.40
Er  0.2530  0.1019  0.4038  5 Er 3.23-3.55, 1 Pm 3.28, 1 Tb 3.47
Er  0.7470  0.8981  0.5962  5 Er 3.23-3.55, 1 Pm 3.28, 1 Tb 3.47
Er  0.2530  0.4038  0.1019  5 Er 3.23-3.55, 1 Pm 3.28, 1 Tb 3.47
Er  0.7470  0.5962  0.8981  5 Er 3.23-3.55, 1 Pm 3.28, 1 Tb 3.47
Er  0.5000  0.5000  0.5000  8 Er 3.23-3.32

Properties
- SG = No. 12
- uncorrected energy (eV per atom) = -4.192
- M_tot (μB/cell) = 0.000

# 3
This record from the Alexandria database describes a geometry-optimized Ac5GePb2 structure. The functional is GGA-PBE.

a b c (Å): 4.9634 9.1839 13.5145
angles (deg): 90.00 90.00 90.00
Last column: nearest neighbours and their distance in Å.
Fractional positions:
Ac  0.0000  0.0000  0.5000  4 Pb 3.49, 4 Ac 3.87
Ac  0.0000  0.5000  0.0000  4 Pb 3.49, 4 Ac 3.87
Ac  0.0000  0.8515  0.2078  1 Ge 3.12
Ac  0.0000  0.1485  0.7922  1 Ge 3.12
Ac  0.0000  0.6485  0.7078  1 Ge 3.12
Ac  0.0000  0.3515  0.2922  1 Ge 3.12
Ac  0.5000  0.6930  0.4304  2 Ge 3.19
Ac  0.5000  0.3070  0.5696  2 Ge 3.19
Ac  0.5000  0.8070  0.9304  2 Ge 3.19
Ac  0.5000  0.1930  0.0696  2 Ge 3.19
Ge  0.0000  0.5000  0.5000  6 Ac 3.12-3.19
Ge  0.0000  0.0000  0.0000  6 Ac 3.12-3.19
Pb  0.5000  0.5763  0.1740  8 Ac 3.49-3.79
Pb  0.5000  0.4237  0.8260  8 Ac 3.49-3.79
Pb  0.5000  0.9237  0.6740  8 Ac 3.49-3.79
Pb  0.5000  0.0763  0.3260  8 Ac 3.49-3.79

Properties
- SG = No. 55
- uncorrected energy (eV per atom) = -4.603
- M_tot (μB/cell) = 0.000

# 4
This record from the Alexandria database describes a geometry-optimized Pr3YTh2As6 structure. The functional is GGA-PBE.

a b c (Å): 4.2648 8.5200 9.5368
angles (deg): 103.13 102.92 90.00
Last column: nearest neighbours and their distance in Å.
Fractional positions:
Pr  0.5000  0.5000  0.0000  6 As 3.04-3.06
Pr  0.8339  0.1657  0.6679  6 As 3.02-3.07
Pr  0.1661  0.8343  0.3321  6 As 3.02-3.07
Y  0.5000  0.0000  0.0000  6 As 2.96-2.97
Th  0.8352  0.6699  0.6704  6 As 2.96-3.02
Th  0.1648  0.3301  0.3296  6 As 2.96-3.02
As  0.3361  0.9147  0.6722  1 Y 2.96, 2 Th 2.98, 3 Pr 3.03-3.07
As  0.6683  0.5798  0.3366  3 Th 3.00-3.02, 3 Pr 3.04-3.05
As  0.6639  0.0853  0.3278  1 Y 2.96, 2 Th 2.98, 3 Pr 3.03-3.07
As  0.0010  0.2432  0.0020  1 Th 2.96, 2 Y 2.97, 3 Pr 3.02-3.06
As  0.9990  0.7568  0.9980  1 Th 2.96, 2 Y 2.97, 3 Pr 3.02-3.06
As  0.3317  0.4202  0.6634  3 Th 3.00-3.02, 3 Pr 3.04-3.05

Properties
- SG = No. 12
- uncorrected energy (eV per atom) = -6.789
- M_tot (μB/cell) = 0.000

# 5
This record from the Alexandria database describes a geometry-optimized Ce6HgPb5 structure. The functional is GGA-PBE.

a b c (Å): 5.0763 9.2170 9.2170
angles (deg): 111.18 106.00 106.00
Last column: nearest neighbours and their distance in Å.
Fractional positions:
Pb  0.5000  0.1666  0.8334  8 Ce 3.37-3.43, 2 Hg 3.59, 2 Pb 3.62
Pb  0.0000  0.3363  0.6637  8 Ce 3.41-3.43, 4 Pb 3.56-3.62
Pb  0.5000  0.5000  0.5000  8 Ce 3.41-3.44, 4 Pb 3.56
Pb  0.0000  0.6637  0.3363  8 Ce 3.41-3.43, 4 Pb 3.56-3.62
Pb  0.5000  0.8334  0.1666  8 Ce 3.37-3.43, 2 Hg 3.59, 2 Pb 3.62
Hg  0.0000  0.0000  0.0000  8 Ce 3.37-3.38, 4 Pb 3.59
Ce  0.2471  0.0814  0.4128  1 Hg 3.38, 7 Pb 3.39-3.43, 4 Ce 3.58-3.61
Ce  0.7529  0.5872  0.9186  1 Hg 3.38, 7 Pb 3.39-3.43, 4 Ce 3.58-3.61
Ce  0.7444  0.2444  0.2444  6 Pb 3.37-3.44, 2 Hg 3.37, 4 Ce 3.58
Ce  0.2556  0.7556  0.7556  6 Pb 3.37-3.44, 2 Hg 3.37, 4 Ce 3.58
Ce  0.2471  0.4128  0.0814  1 Hg 3.38, 7 Pb 3.39-3.43, 4 Ce 3.58-3.61
Ce  0.7529  0.9186  0.5872  1 Hg 3.38, 7 Pb 3.39-3.43, 4 Ce 3.58-3.61

Properties
- SG = No. 71
- uncorrected energy (eV per atom) = -4.919
- M_tot (μB/cell) = 8.010

# 6
This record from the Alexandria database describes a geometry-optimized LaTbNi2H8 structure. The functional is GGA-PBE.

a b c (Å): 4.4775 4.4775 7.0721
angles (deg): 71.55 71.55 60.00
Last column: nearest neighbours and their distance in Å.
Fractional positions:
La  0.5000  0.5000  0.5000  12 H 2.48-2.59
Tb  0.0000  0.0000  0.0000  12 H 2.49
Ni  0.2478  0.2478  0.2567  4 H 1.56-1.61
Ni  0.7522  0.7522  0.7433  4 H 1.56-1.61
H  0.1664  0.1664  0.5007  1 Ni 1.61
H  0.4637  0.4638  0.1654  1 Ni 1.56
H  0.8336  0.8336  0.4993  1 Ni 1.61
H  0.9071  0.4637  0.1654  1 Ni 1.56
H  0.0929  0.5363  0.8346  1 Ni 1.56
H  0.4638  0.9071  0.1654  1 Ni 1.56
H  0.5362  0.0929  0.8346  1 Ni 1.56
H  0.5363  0.5362  0.8346  1 Ni 1.56

Properties
- SG = No. 166
- uncorrected energy (eV per atom) = -4.316
- M_tot (μB/cell) = 0.000

# 7
This record from the Alexandria database describes a geometry-optimized LaSi3Hg structure. The functional is GGA-PBE.

a b c (Å): 5.6348 5.6348 5.6348
angles (deg): 90.00 90.00 90.00
Last column: nearest neighbours and their distance in Å.
Fractional positions:
Si  0.0000  0.5000  0.0000  2 La 2.82
Si  0.0000  0.0000  0.5000  2 La 2.82
Si  0.5000  0.0000  0.0000  2 La 2.82
Hg  0.5000  0.5000  0.5000  12 Si 3.98
La  0.0000  0.0000  0.0000  6 Si 2.82

Properties
- SG = No. 221
- uncorrected energy (eV per atom) = -3.029
- M_tot (μB/cell) = 0.000

# 8
This record from the Alexandria database describes a geometry-optimized HfPa2Se6 structure. The functional is GGA-PBE.

a b c (Å): 6.5008 7.4009 9.2775
angles (deg): 90.00 91.70 90.00
Last column: nearest neighbours and their distance in Å.
Fractional positions:
Hf  0.5000  0.5000  0.0000  6 Se 2.65-2.67
Hf  0.0000  0.0000  0.5000  6 Se 2.65-2.67
Pa  0.9531  0.3730  0.7568  6 Se 2.79-2.96
Pa  0.5469  0.8730  0.7432  6 Se 2.79-2.96
Pa  0.4531  0.1270  0.2568  6 Se 2.79-2.96
Pa  0.0469  0.6270  0.2432  6 Se 2.79-2.96
Se  0.8444  0.9595  0.2348  1 Hf 2.65, 2 Pa 2.79-2.84
Se  0.8425  0.6778  0.5654  1 Hf 2.67, 2 Pa 2.95
Se  0.8425  0.6796  0.9367  1 Hf 2.67, 2 Pa 2.92-2.96
Se  0.6575  0.1796  0.5633  1 Hf 2.67, 2 Pa 2.92-2.96
Se  0.6575  0.1778  0.9346  1 Hf 2.67, 2 Pa 2.95
Se  0.6556  0.4595  0.2652  1 Hf 2.65, 2 Pa 2.79-2.84
Se  0.1556  0.0405  0.7652  1 Hf 2.65, 2 Pa 2.79-2.84
Se  0.1575  0.3222  0.4346  1 Hf 2.67, 2 Pa 2.95
Se  0.1575  0.3204  0.0633  1 Hf 2.67, 2 Pa 2.92-2.96
Se  0.3425  0.8204  0.4367  1 Hf 2.67, 2 Pa 2.92-2.96
Se  0.3425  0.8222  0.0654  1 Hf 2.67, 2 Pa 2.95
Se  0.3444  0.5405  0.7348  1 Hf 2.65, 2 Pa 2.79-2.84

Properties
- SG = No. 14
- uncorrected energy (eV per atom) = -6.865
- M_tot (μB/cell) = 2.850

# 9
This record from the Alexandria database describes a geometry-optimized Hg2HRh structure. The functional is GGA-PBE.

a b c (Å): 4.5703 4.5703 4.5703
angles (deg): 60.00 60.00 60.00
Last column: nearest neighbours and their distance in Å.
Fractional positions:
H  0.0000  0.0000  0.0000  8 Hg 2.80
Rh  0.5000  0.5000  0.5000  8 Hg 2.80
Hg  0.2500  0.2500  0.2500  4 Rh 2.80, 4 H 2.80
Hg  0.7500  0.7500  0.7500  4 Rh 2.80, 4 H 2.80

Properties
- SG = No. 225
- uncorrected energy (eV per atom) = -2.120
- M_tot (μB/cell) = 0.941

# 10
This record from the Alexandria database describes a geometry-optimized InPIrOs2 structure. The functional is GGA-PBE.

a b c (Å): 4.8885 4.8486 4.8885
angles (deg): 90.00 90.00 90.00
Last column: nearest neighbours and their distance in Å.
Fractional positions:
P  0.5000  0.5000  0.5000  8 Os 3.44, 4 Ir 3.46
Ir  0.0000  0.5000  0.0000  2 In 2.42
Os  0.0000  0.0000  0.5000  2 In 2.44
Os  0.5000  0.0000  0.0000  2 In 2.44
In  0.0000  0.0000  0.0000  2 Ir 2.42, 4 Os 2.44

Properties
- SG = No. 123
- uncorrected energy (eV per atom) = -4.961
- M_tot (μB/cell) = 3.567

# 11
This record from the Alexandria database describes a geometry-optimized BaZrN3 structure. The functional is GGA-PBE.

a b c (Å): 4.3706 4.3706 4.3706
angles (deg): 90.00 90.00 90.00
Last column: nearest neighbours and their distance in Å.
Fractional positions:
Ba  0.0000  0.0000  0.0000  6 N 2.19
Zr  0.5000  0.5000  0.5000  12 N 3.09
N  0.0000  0.5000  0.0000  2 Ba 2.19
N  0.0000  0.0000  0.5000  2 Ba 2.19
N  0.5000  0.0000  0.0000  2 Ba 2.19

Properties
- SG = No. 221
- uncorrected energy (eV per atom) = -5.223
- M_tot (μB/cell) = 0.000